# TlSb2Pb (meta-GGA SCAN, PBEsol geometry)
data_TlSb2Pb
_cell_length_a 5.7160
_cell_length_b 3.3747
_cell_length_c 6.1002
_cell_angle_alpha 90.00
_cell_angle_beta 108.06
_cell_angle_gamma 90.00
_symmetry_space_group_name_H-M 'P 1'
_symmetry_Int_Tables_number 1
loop_
_symmetry_equiv_pos_as_xyz
'x,y,z'
loop_
_atom_site_label
_atom_site_type_symbol
_atom_site_fract_x
_atom_site_fract_y
_atom_site_fract_z
Tl1 Tl 0.0000 0.0000 0.0000
Sb1 Sb 0.0000 0.5000 0.5000
Sb2 Sb 0.5000 0.0000 0.5000
Pb1 Pb 0.5000 0.5000 0.0000
# Symmetry: No. 10
# N(E_F) in states/eV/f.u.: 2.12
# Uncorrected formation energy in meV/atom: 153
# E in Ry per atom: -4.0801